No. 1
Material: TeRuBr2
Method: DFT, GGA-PBE
State: relaxed

density: 7.000 g/cm³
formation energy (no corrections): 774 meV per atom
N(E_F): 5.3 states/eV per cell

Structure (CIF):
```
data_TeRuBr2
_cell_length_a 3.277
_cell_length_b 4.784
_cell_length_c 5.878
_cell_angle_alpha 90.00
_cell_angle_beta 90.00
_cell_angle_gamma 90.00
_space_group_name_H-M_alt 'P m m m'
_space_group_IT_number 47
_space_group_name_Hall '-P 2 2'
loop_
_atom_site_label
_atom_site_type_symbol
_atom_site_fract_x
_atom_site_fract_y
_atom_site_fract_z
Te1 Te 0.000 0.000 0.000
Ru1 Ru 0.500 0.000 0.500
Br1 Br 0.000 0.500 0.500
Br2 Br 0.500 0.500 0.000
```

---

No. 2
Material: Os3BrO
Method: DFT, GGA-PBE
State: relaxed

E above lowest polymorph: 1.342 eV/atom
density: 11.547 g/cm³
formation energy (no corrections): 3093 meV per atom
N(E_F): 6.8 states/eV per cell

Structure (CIF):
```
data_Os3BrO
_cell_length_a 4.577
_cell_length_b 4.577
_cell_length_c 4.577
_cell_angle_alpha 90.00
_cell_angle_beta 90.00
_cell_angle_gamma 90.00
_space_group_name_H-M_alt 'P m -3 m'
_space_group_IT_number 221
_space_group_name_Hall '-P 4 2 3'
loop_
_atom_site_label
_atom_site_type_symbol
_atom_site_fract_x
_atom_site_fract_y
_atom_site_fract_z
Os1 Os 0.000 0.000 0.500
Br1 Br 0.000 0.000 0.000
O1 O 0.500 0.500 0.500
```

---

No. 3
Material: Hf2ScRh2
Method: DFT, GGA-PBE
State: relaxed

E above lowest polymorph: 0.000 eV/atom
density: 11.055 g/cm³
energy of formation from the pure elements: -0.74 eV per atom
N(E_F): 13.1 states/eV per cell

Structure (CIF):
```
data_Hf2ScRh2
_cell_length_a 3.330
_cell_length_b 23.348
_cell_length_c 4.697
_cell_angle_alpha 90.00
_cell_angle_beta 90.00
_cell_angle_gamma 90.00
_space_group_name_H-M_alt 'C m c m'
_space_group_IT_number 63
_space_group_name_Hall '-C 2c 2'
loop_
_atom_site_label
_atom_site_type_symbol
_atom_site_fract_x
_atom_site_fract_y
_atom_site_fract_z
Hf1 Hf 0.000 0.049 0.250
Hf2 Hf 0.000 0.239 0.250
Sc1 Sc 0.000 0.145 0.750
Rh1 Rh 0.000 0.357 0.750
Rh2 Rh 0.000 0.454 0.250
```

---

No. 4
Material: TbMnB
Method: DFT, GGA-PBE
State: relaxed

E above lowest polymorph: 0.557 eV/atom
density: 8.707 g/cm³
energy of formation from the pure elements: 0.26 eV per atom
N(E_F): 31.0 states/eV per cell

Structure (CIF):
```
data_TbMnB
_cell_length_a 4.315
_cell_length_b 8.721
_cell_length_c 18.218
_cell_angle_alpha 90.00
_cell_angle_beta 90.00
_cell_angle_gamma 90.00
_space_group_name_H-M_alt 'F d d d'
_space_group_IT_number 70
loop_
_space_group_symop_operation_xyz
'x,y,z'
'-x,-y,-z'
'-x+1/4,-y+1/4,z'
'x+1/4,y+1/4,-z'
'x,-y+1/4,-z+1/4'
'-x,y+1/4,z+1/4'
'-x+1/4,y,-z+1/4'
'x+1/4,-y,z+1/4'
'x,y+1/2,z+1/2'
'-x,-y+1/2,-z+1/2'
'-x+1/4,-y+3/4,z+1/2'
'x+1/4,y+3/4,-z+1/2'
'x,-y+3/4,-z+3/4'
'-x,y+3/4,z+3/4'
'-x+1/4,y+1/2,-z+3/4'
'x+1/4,-y+1/2,z+3/4'
'x+1/2,y,z+1/2'
'-x+1/2,-y,-z+1/2'
'-x+3/4,-y+1/4,z+1/2'
'x+3/4,y+1/4,-z+1/2'
'x+1/2,-y+1/4,-z+3/4'
'-x+1/2,y+1/4,z+3/4'
'-x+3/4,y,-z+3/4'
'x+3/4,-y,z+3/4'
'x+1/2,y+1/2,z'
'-x+1/2,-y+1/2,-z'
'-x+3/4,-y+3/4,z'
'x+3/4,y+3/4,-z'
'x+1/2,-y+3/4,-z+1/4'
'-x+1/2,y+3/4,z+1/4'
'-x+3/4,y+1/2,-z+1/4'
'x+3/4,-y+1/2,z+1/4'
loop_
_atom_site_label
_atom_site_type_symbol
_atom_site_fract_x
_atom_site_fract_y
_atom_site_fract_z
Tb1 Tb 0.125 0.282 0.125
Mn1 Mn 0.125 0.125 0.532
B1 B 0.125 0.125 0.003
```

---

No. 5
Material: RbHoIrO6
Method: DFT, GGA-PBE
State: relaxed

density: 5.272 g/cm³
formation energy (no corrections): -1469 meV per atom
N(E_F): 5.3 states/eV per cell

Structure (CIF):
```
data_RbHoIrO6
_cell_length_a 5.6187
_cell_length_b 5.6187
_cell_length_c 6.2046
_cell_angle_alpha 90.00
_cell_angle_beta 90.00
_cell_angle_gamma 120.00
_space_group_name_H-M_alt 'P 3 1 2'
_space_group_IT_number 149
_space_group_name_Hall 'P 3 2'
loop_
_atom_site_label
_atom_site_type_symbol
_atom_site_fract_x
_atom_site_fract_y
_atom_site_fract_z
Rb1 Rb 0.0000 0.0000 0.0000
Ho1 Ho 0.3333 0.6667 0.5000
Ir1 Ir 0.6667 0.3333 0.5000
O1 O 0.4044 0.0448 0.6759
```

---

No. 6
Material: LiSn2Ge
Method: DFT, GGA-PBE
State: relaxed

density: 5.300 g/cm³
energy of formation from the pure elements: 0.02 eV per atom
N(E_F): 5.9 states/eV per cell

Structure (CIF):
```
data_LiSn2Ge
_cell_length_a 4.4271
_cell_length_b 4.4271
_cell_length_c 17.5531
_cell_angle_alpha 90.00
_cell_angle_beta 90.00
_cell_angle_gamma 120.00
_space_group_name_H-M_alt 'R 3 m'
_space_group_IT_number 160
_space_group_name_Hall 'R 3 -2"'
loop_
_atom_site_label
_atom_site_type_symbol
_atom_site_fract_x
_atom_site_fract_y
_atom_site_fract_z
Li1 Li 0.0000 0.0000 0.0000
Sn1 Sn 0.0000 0.0000 0.5752
Sn2 Sn 0.0000 0.0000 0.7476
Ge1 Ge 0.0000 0.0000 0.1632
```

---

No. 7
Material: NiBiP3
Method: DFT, GGA-PBE
State: relaxed

E above lowest polymorph: 0.570 eV/atom
density: 6.438 g/cm³
energy of formation from the pure elements: 0.49 eV per atom
N(E_F): 4.6 states/eV per cell

Structure (CIF):
```
data_NiBiP3
_cell_length_a 4.531
_cell_length_b 4.531
_cell_length_c 4.531
_cell_angle_alpha 90.00
_cell_angle_beta 90.00
_cell_angle_gamma 90.00
_space_group_name_H-M_alt 'P m -3 m'
_space_group_IT_number 221
_space_group_name_Hall '-P 4 2 3'
loop_
_atom_site_label
_atom_site_type_symbol
_atom_site_fract_x
_atom_site_fract_y
_atom_site_fract_z
Ni1 Ni 0.000 0.000 0.000
Bi1 Bi 0.500 0.500 0.500
P1 P 0.000 0.000 0.500
```

---

No. 8
Material: Sc2MnPdC
Method: DFT, GGA-PBE
State: relaxed

density: 5.614 g/cm³
energy of formation from the pure elements: -0.50 eV per atom
N(E_F): 3.4 states/eV per cell

Structure (CIF):
```
data_Sc2MnPdC
_cell_length_a 4.563
_cell_length_b 4.563
_cell_length_c 3.740
_cell_angle_alpha 90.00
_cell_angle_beta 90.00
_cell_angle_gamma 90.00
_space_group_name_H-M_alt 'P 4/m m m'
_space_group_IT_number 123
_space_group_name_Hall '-P 4 2'
loop_
_atom_site_label
_atom_site_type_symbol
_atom_site_fract_x
_atom_site_fract_y
_atom_site_fract_z
Sc1 Sc 0.000 0.500 0.000
Mn1 Mn 0.000 0.000 0.500
Pd1 Pd 0.500 0.500 0.500
C1 C 0.000 0.000 0.000
```

---

No. 9
Material: CaZrTc
Method: DFT, GGA-PBE
State: relaxed

E above lowest polymorph: 0.444 eV/atom
density: 5.290 g/cm³
energy of formation from the pure elements: 0.54 eV per atom
N(E_F): 12.3 states/eV per cell

Structure (CIF):
```
data_CaZrTc
_cell_length_a 6.603
_cell_length_b 6.603
_cell_length_c 6.603
_cell_angle_alpha 90.00
_cell_angle_beta 90.00
_cell_angle_gamma 90.00
_space_group_name_H-M_alt 'F -4 3 m'
_space_group_IT_number 216
_space_group_name_Hall 'F -4 2 3'
loop_
_atom_site_label
_atom_site_type_symbol
_atom_site_fract_x
_atom_site_fract_y
_atom_site_fract_z
Ca1 Ca 0.000 0.000 0.000
Zr1 Zr 0.000 0.000 0.500
Tc1 Tc 0.250 0.250 0.250
```

---

No. 10
Material: Ba2PrAs2I2
Method: DFT, GGA-PBE
State: relaxed

density: 4.741 g/cm³
formation energy (no corrections): -1304 meV per atom
N(E_F): 7.6 states/eV per cell

Structure (CIF):
```
data_Ba2PrAs2I2
_cell_length_a 5.669
_cell_length_b 5.669
_cell_length_c 17.855
_cell_angle_alpha 90.00
_cell_angle_beta 90.00
_cell_angle_gamma 90.00
_space_group_name_H-M_alt 'I 4/m m m'
_space_group_IT_number 139
_space_group_name_Hall '-I 4 2'
loop_
_atom_site_label
_atom_site_type_symbol
_atom_site_fract_x
_atom_site_fract_y
_atom_site_fract_z
Ba1 Ba 0.000 0.000 0.115
Pr1 Pr 0.000 0.000 0.500
As1 As 0.000 0.500 0.000
I1 I 0.000 0.000 0.315
```

---

No. 11
Material: SmHoZnAu
Method: DFT, GGA-PBE
State: relaxed

E above lowest polymorph: 0.000 eV/atom
density: 10.188 g/cm³
energy of formation from the pure elements: -0.59 eV per atom
N(E_F): 3.5 states/eV per cell

Structure (CIF):
```
data_SmHoZnAu
_cell_length_a 3.628
_cell_length_b 3.628
_cell_length_c 7.154
_cell_angle_alpha 90.00
_cell_angle_beta 90.00
_cell_angle_gamma 90.00
_space_group_name_H-M_alt 'P 4 m m'
_space_group_IT_number 99
_space_group_name_Hall 'P 4 -2'
loop_
_atom_site_label
_atom_site_type_symbol
_atom_site_fract_x
_atom_site_fract_y
_atom_site_fract_z
Sm1 Sm 0.000 0.000 0.000
Ho1 Ho 0.000 0.000 0.496
Zn1 Zn 0.500 0.500 0.258
Au1 Au 0.500 0.500 0.729
```

---

No. 12
Material: Li3Ac2AlNi12
Method: DFT, GGA-PBE
State: relaxed

density: 7.295 g/cm³
energy of formation from the pure elements: 0.12 eV per atom
N(E_F): 68.2 states/eV per cell

Structure (CIF):
```
data_Li3Ac2AlNi12
_cell_length_a 6.0503
_cell_length_b 6.0503
_cell_length_c 25.9826
_cell_angle_alpha 90.00
_cell_angle_beta 90.00
_cell_angle_gamma 120.00
_space_group_name_H-M_alt 'R -3 m'
_space_group_IT_number 166
_space_group_name_Hall '-R 3 2"'
loop_
_atom_site_label
_atom_site_type_symbol
_atom_site_fract_x
_atom_site_fract_y
_atom_site_fract_z
Li1 Li 0.0000 0.5000 0.0000
Ac1 Ac 0.0000 0.0000 0.1514
Al1 Al 0.0000 0.0000 0.5000
Ni1 Ni 0.0610 0.5305 0.0934
Ni2 Ni 0.0729 0.5364 0.6174
```